1.
First-principles (GGA-PBE) data for a relaxed structure of Cs2AgAuN4, as listed in OQMD.

- Energy: -3.936 eV per atom
- SG: No. 38

Cell: 6.326 6.763 6.763 Å, 43.44 90.00 90.00°
Fractional positions:
Ag 0.000 0.506 0.506
Au 0.500 0.492 0.492
Cs 0.500 0.195 0.195
Cs 0.000 0.805 0.805
N 0.247 0.399 0.399
N 0.753 0.399 0.399
N 0.263 0.601 0.601
N 0.737 0.601 0.601

2.
First-principles (GGA-PBE) data for a relaxed structure of BaHfNb, as listed in OQMD.

- E above lowest polymorph: 0.0 meV per atom
- SG: No. 216

Cell: 5.005 5.005 5.005 Å, 60.00 60.00 60.00°
Fractional positions:
Ba 0.250 0.250 0.250
Hf 0.750 0.750 0.750
Nb 0.000 0.000 0.000

3.
First-principles (GGA-PBE) data for a relaxed structure of KPm, as listed in OQMD.

- Energy: -1.064 eV per atom
- SG: No. 216

Cell: 5.325 5.325 5.325 Å, 60.00 60.00 60.00°
Fractional positions:
K 0.000 0.000 0.000
Pm 0.250 0.250 0.250